Arrangement one

Here is crystalline Hf5Co2Pd2 at its relaxed geometry from Alexandria via LeMat-Bulk. Energies are from PBE.

```
18
Lattice="7.257 0.000 0.000 0.000 6.213 0.000 -3.628 -3.106 7.410" Properties=species:S:1:pos:R:3 pbc="T T T"
Pd 3.284 -0.032 1.355
Pd 0.344 3.074 1.355
Co 3.370 4.596 3.705
Hf 5.153 0.170 3.705
Hf -2.199 -1.915 6.638
Hf 5.058 4.298 0.771
Hf 0.808 -0.528 5.156
Co 3.628 2.271 0.000
Hf 0.808 -0.528 2.254
Hf -1.430 1.192 6.638
Hf -1.524 3.276 3.705
Co 0.258 1.490 3.705
Hf 2.820 2.579 2.254
Hf 2.820 2.579 5.156
Hf 5.827 1.192 0.771
Pd 0.344 3.074 6.055
Pd 3.284 -0.032 6.055
Co 0.000 5.377 0.000
```

Arrangement two

Here is crystalline Hf5Co2Pd2 at its relaxed geometry from Alexandria via LeMat-Bulk. Energies are from PBE.

```
18
Lattice="-2.796 5.789 0.869 -5.897 -2.748 -0.668 -1.665 1.630 8.001" Properties=species:S:1:pos:R:3 pbc="T T T"
Pd -1.547 2.188 4.658
Hf -3.553 3.321 6.184
Hf -6.108 1.130 5.728
Hf -5.776 5.831 6.526
Co -6.151 -0.249 -0.259
Co -6.156 3.294 0.333
Hf -6.805 1.350 2.017
Co -2.537 -0.253 -0.132
Co -2.542 3.291 0.460
Hf -2.028 1.031 2.133
Pd -5.894 3.709 4.759
Hf -4.346 1.521 0.101
Hf 0.000 0.000 0.000
Hf -8.330 3.640 6.069
Pd -4.465 0.962 3.443
Hf -4.582 -1.160 1.676
Pd -2.914 5.230 4.212
Hf -4.251 3.541 2.474
```

The most stable of them is arrangement two.

Arrangement one

Here is crystalline HfCoPd3 at its relaxed geometry from Alexandria via LeMat-Bulk. Energies are from PBE.

```
5
Lattice="4.530 0.000 0.000 0.000 4.530 0.000 0.000 0.000 4.530" Properties=species:S:1:pos:R:3 pbc="T T T"
Hf 2.265 2.265 2.265
Pd 0.000 2.265 0.000
Pd 2.265 0.000 0.000
Pd 0.000 0.000 2.265
Co 0.000 0.000 0.000
```

Arrangement two

Here is crystalline HfCoPd3 at its relaxed geometry from Alexandria via LeMat-Bulk. Energies are from PBE.

```
5
Lattice="4.826 0.000 0.000 0.000 4.826 0.000 0.000 0.000 4.826" Properties=species:S:1:pos:R:3 pbc="T T T"
Pd 0.000 0.000 2.413
Pd 2.413 0.000 0.000
Co 2.413 2.413 2.413
Pd 0.000 2.413 0.000
Hf 0.000 0.000 0.000
```

The most stable of them is arrangement one.

Arrangement one

Here is crystalline Hf6CoPt2 at its relaxed geometry from Alexandria via LeMat-Bulk. Energies are from PBE.

```
9
Lattice="-1.502 -0.702 -2.939 6.638 -1.729 -2.979 -4.132 -5.658 3.463" Properties=species:S:1:pos:R:3 pbc="T T T"
Hf -2.651 -6.043 2.799
Hf 0.412 -3.245 -1.373
Hf 3.086 -1.350 -3.192
Pt -0.435 -4.453 1.286
Hf 1.927 -5.488 0.326
Pt 3.174 -2.994 -0.907
Co 5.605 -2.006 -4.322
Hf -1.002 -1.487 0.867
Hf -3.094 -3.883 0.572
```

Arrangement two

Here is crystalline Hf6CoPt2 at its relaxed geometry from Alexandria via LeMat-Bulk. Energies are from PBE.

```
18
Lattice="5.575 0.000 0.269 0.000 7.202 0.000 -0.285 0.000 8.831" Properties=species:S:1:pos:R:3 pbc="T T T"
Hf 0.734 2.487 4.105
Hf 3.615 3.237 2.396
Co -0.142 0.000 4.416
Hf 1.842 5.581 3.982
Hf 0.686 0.364 6.677
Co 2.788 3.601 0.135
Hf 1.675 3.966 6.704
Hf 4.488 5.222 8.532
Pt 0.570 4.293 1.929
Hf 4.557 4.715 4.995
Hf 4.605 6.838 2.423
Hf 0.803 1.980 0.568
Hf 1.911 6.088 0.445
Hf 3.379 1.114 8.655
Hf 3.448 1.621 5.119
Pt 3.216 6.511 6.479
Pt 4.720 2.910 7.171
Pt 2.075 0.691 2.621
```

The most stable of them is arrangement one.

Arrangement one

Here is crystalline Hf7Co2Pt2 at its relaxed geometry from Alexandria via LeMat-Bulk. Energies are from PBE.

```
11
Lattice="3.289 0.000 0.705 0.870 7.446 3.962 -0.097 -0.280 8.474" Properties=species:S:1:pos:R:3 pbc="T T T"
Hf 1.152 4.998 10.671
Hf 2.710 0.562 3.409
Pt 0.645 5.641 5.016
Hf 1.560 -0.179 8.768
Co 1.150 2.368 2.661
Co 3.090 6.210 9.657
Hf 0.472 0.719 5.819
Hf 3.107 2.585 9.578
Hf 2.455 3.547 4.596
Pt 1.911 2.626 7.130
Hf 1.824 5.344 7.539
```

Arrangement two

Here is crystalline Hf7Co2Pt2 at its relaxed geometry from Alexandria via LeMat-Bulk. Energies are from PBE.

```
11
Lattice="-4.395 4.207 0.397 -3.611 -3.406 -3.892 -0.946 -4.070 4.439" Properties=species:S:1:pos:R:3 pbc="T T T"
Hf -3.568 -0.778 1.451
Hf 0.000 0.000 0.000
Pt -6.108 -1.593 1.950
Hf -7.558 -0.367 -0.282
Hf -1.394 -2.903 1.227
Co -1.954 -1.652 3.258
Hf -5.384 -2.492 -0.507
Hf -4.887 -0.435 -2.701
Co -6.998 -1.618 -2.313
Hf -4.065 -2.835 3.645
Pt -2.844 -1.676 -1.005
```

The most stable of them is arrangement one.

Arrangement one

Here is crystalline HfCoPt3 at its relaxed geometry from Alexandria via LeMat-Bulk. Energies are from PBE.

```
5
Lattice="-2.402 4.231 -0.536 0.429 -0.372 -4.861 -4.243 -2.433 -0.188" Properties=species:S:1:pos:R:3 pbc="T T T"
Pt 0.214 -0.186 -2.431
Pt -2.121 -1.216 -0.094
Hf 0.000 0.000 0.000
Pt -1.201 2.115 -0.268
Co -3.108 0.713 -2.792
```

Arrangement two

Here is crystalline HfCoPt3 at its relaxed geometry from Alexandria via LeMat-Bulk. Energies are from PBE.

```
5
Lattice="-2.718 -3.599 -0.535 3.612 -2.587 -0.943 0.442 -0.990 4.410" Properties=species:S:1:pos:R:3 pbc="T T T"
Hf 0.668 -3.588 1.466
Pt -1.359 -1.800 -0.268
Pt 0.221 -0.495 2.205
Pt 1.806 -1.293 -0.471
Co 0.000 0.000 0.000
```

The most stable of them is arrangement two.

Arrangement one

Here is crystalline HfZnCoPt at its relaxed geometry from Alexandria via LeMat-Bulk. Energies are from PBE.

```
4
Lattice="4.105 0.000 0.000 0.000 4.105 0.000 -2.052 -2.052 3.572" Properties=species:S:1:pos:R:3 pbc="T T T"
Zn 0.000 0.000 0.000
Pt 2.052 0.000 1.786
Hf 2.052 2.053 0.000
Co 0.000 2.052 1.786
```

Arrangement two

Here is crystalline HfZnCoPt at its relaxed geometry from Alexandria via LeMat-Bulk. Energies are from PBE.

```
4
Lattice="-2.881 2.044 2.654 -1.389 -1.981 3.697 1.312 1.507 3.941" Properties=species:S:1:pos:R:3 pbc="T T T"
Zn -1.479 0.785 5.146
Pt -2.218 1.178 7.719
Hf 0.000 0.000 0.000
Co -0.739 0.393 2.573
```

The most stable of them is arrangement one.

Arrangement one

Here is crystalline PuHfCo2 at its relaxed geometry from Alexandria via LeMat-Bulk. Energies are from PBE.

```
4
Lattice="-0.662 -1.846 -4.120 2.734 -3.346 -1.467 -1.600 -4.260 -0.361" Properties=species:S:1:pos:R:3 pbc="T T T"
Hf 0.236 -4.726 -2.974
Pu 0.000 0.000 0.000
Co 0.352 -7.091 -4.460
Co 0.120 -2.361 -1.488
```

Arrangement two

Here is crystalline PuHfCo2 at its relaxed geometry from Alexandria via LeMat-Bulk. Energies are from PBE.

```
4
Lattice="3.152 0.000 0.000 0.000 3.152 0.000 0.000 0.000 6.765" Properties=species:S:1:pos:R:3 pbc="T T T"
Hf 1.576 1.576 0.000
Co 0.000 0.000 5.298
Co 0.000 0.000 1.467
Pu 1.576 1.576 3.383
```

The most stable of them is arrangement two.

Arrangement one

Here is crystalline Rb2HfCo at its relaxed geometry from Alexandria via LeMat-Bulk. Energies are from PBE.

```
8
Lattice="13.481 0.000 0.000 0.000 13.481 0.000 6.740 6.740 2.243" Properties=species:S:1:pos:R:3 pbc="T T T"
Rb 7.817 3.370 0.561
Hf 0.000 0.000 0.000
Co 6.740 13.481 1.121
Co 6.740 6.740 0.000
Hf 13.481 6.740 1.121
Rb 16.851 14.558 1.682
Rb 5.663 10.111 0.561
Rb 10.111 12.404 1.682
```

Arrangement two

Here is crystalline Rb2HfCo at its relaxed geometry from Alexandria via LeMat-Bulk. Energies are from PBE.

```
4
Lattice="0.854 -0.453 5.941 -4.711 0.206 3.742 -1.743 -4.966 2.921" Properties=species:S:1:pos:R:3 pbc="T T T"
Rb -4.200 -3.910 9.453
Co 0.000 0.000 0.000
Hf -2.800 -2.606 6.302
Rb -1.400 -1.303 3.151
```

The most stable of them is arrangement one.

Arrangement one

Here is crystalline RbHf2Co2 at its relaxed geometry from Alexandria via LeMat-Bulk. Energies are from PBE.

```
5
Lattice="-2.535 -3.121 -1.579 2.346 -2.963 2.091 -4.262 -2.448 5.772" Properties=species:S:1:pos:R:3 pbc="T T T"
Co -3.093 -5.669 4.357
Hf -3.445 -4.305 2.225
Co -1.357 -2.862 1.928
Hf -1.005 -4.226 4.060
Rb 0.000 0.000 0.000
```

Arrangement two

Here is crystalline RbHf2Co2 at its relaxed geometry from Alexandria via LeMat-Bulk. Energies are from PBE.

```
10
Lattice="8.162 0.000 0.000 0.000 8.162 0.000 0.000 0.000 3.069" Properties=species:S:1:pos:R:3 pbc="T T T"
Co 5.119 1.037 0.000
Co 7.125 5.119 0.000
Hf 7.081 3.000 1.535
Co 1.037 3.044 0.000
Hf 5.162 7.081 1.535
Co 3.044 7.125 0.000
Rb 0.000 0.000 0.000
Rb 4.081 4.081 0.000
Hf 3.000 1.081 1.535
Hf 1.081 5.162 1.535
```

The most stable of them is arrangement one.

Arrangement one

Here is crystalline RbHf2Co at its relaxed geometry from Alexandria via LeMat-Bulk. Energies are from PBE.

```
8
Lattice="6.551 0.000 0.000 0.000 6.551 0.000 3.276 3.276 6.731" Properties=species:S:1:pos:R:3 pbc="T T T"
Co 3.276 6.551 3.365
Rb 6.551 3.276 3.365
Hf 8.189 6.551 5.048
Co 3.276 3.276 0.000
Hf 4.913 6.551 5.048
Hf 3.276 4.913 1.683
Hf 3.275 1.638 1.683
Rb 0.000 0.000 0.000
```

Arrangement two

Here is crystalline RbHf2Co at its relaxed geometry from Alexandria via LeMat-Bulk. Energies are from PBE.

```
4
Lattice="0.924 3.278 3.473 -2.823 3.936 0.443 -3.001 0.425 3.804" Properties=species:S:1:pos:R:3 pbc="T T T"
Co 0.000 0.000 0.000
Rb -2.450 3.819 3.860
Hf -1.225 1.910 1.930
Hf -3.675 5.729 5.789
```

The most stable of them is arrangement one.

Arrangement one

Here is crystalline RbHf3Co at its relaxed geometry from Alexandria via LeMat-Bulk. Energies are from PBE.

```
5
Lattice="-4.066 2.656 -1.185 0.273 -1.681 -4.700 -2.896 -3.887 1.222" Properties=species:S:1:pos:R:3 pbc="T T T"
Hf -2.033 1.328 -0.593
Rb -3.345 -1.456 -2.332
Hf 0.136 -0.840 -2.350
Hf -1.448 -1.944 0.611
Co 0.000 0.000 0.000
```

Arrangement two

Here is crystalline RbHf3Co at its relaxed geometry from Alexandria via LeMat-Bulk. Energies are from PBE.

```
5
Lattice="-0.938 2.233 4.316 -3.872 -2.999 0.710 2.936 -3.242 2.315" Properties=species:S:1:pos:R:3 pbc="T T T"
Rb 0.000 0.000 0.000
Hf -0.469 1.116 2.158
Hf -1.936 -1.500 0.355
Co -0.937 -2.004 3.671
Hf 1.468 -1.621 1.158
```

The most stable of them is arrangement one.

Arrangement one

Here is crystalline RbHfCo3 at its relaxed geometry from Alexandria via LeMat-Bulk. Energies are from PBE.

```
5
Lattice="-2.389 -0.978 -3.625 1.694 -4.115 -0.005 -3.351 -1.382 2.582" Properties=species:S:1:pos:R:3 pbc="T T T"
Co -1.195 -0.489 -1.812
Hf -2.023 -3.238 -0.524
Co 0.847 -2.058 -0.003
Rb 0.000 0.000 0.000
Co -1.675 -0.691 1.291
```

Arrangement two

Here is crystalline RbHfCo3 at its relaxed geometry from Alexandria via LeMat-Bulk. Energies are from PBE.

```
5
Lattice="-3.848 -2.913 -0.319 2.869 -3.639 -1.384 0.593 -1.291 4.623" Properties=species:S:1:pos:R:3 pbc="T T T"
Co 0.297 -0.645 2.311
Hf 0.000 0.000 0.000
Co 1.435 -1.819 -0.692
Co -1.924 -1.456 -0.160
Rb -0.192 -3.921 1.460
```

The most stable of them is arrangement two.